Record 1
YMgZnFe GGA-PBE optimized geometry; offset from the most stable computed form = 0.00 eV/f.u.
1.0
0.000 3.349 3.349
3.349 0.000 3.349
3.349 3.349 0.000
Zn Fe Mg Y
1 1 1 1
direct
0.000 0.000 0.000
0.750 0.750 0.750
0.500 0.500 0.500
0.250 0.250 0.250

***

Record 2
YMgZnFe GGA-PBE optimized geometry; offset from the most stable computed form = 0.34 eV/f.u.
1.0
-2.011 -3.074 3.010
-3.227 1.515 3.137
-4.566 -1.195 -0.525
Mg Fe Y Zn
1 1 1 1
direct
0.250 0.250 0.250
0.750 0.750 0.750
0.500 0.500 0.500
0.000 0.000 0.000

***

Record 3
MgZnFe2 | GGA-PBE | optimized geometry

POSCAR file:
```
MgZnFe2
1.0
-4.863 -3.486 -0.899
2.342 -1.915 -5.240
2.735 -4.559 2.889
Mg Fe Zn
4 8 4
direct
0.000 0.000 0.000
0.000 0.000 0.500
0.000 0.500 0.000
0.500 0.000 0.000
0.267 0.267 0.267
0.733 0.733 0.733
0.733 0.733 0.267
0.267 0.267 0.733
0.733 0.267 0.267
0.267 0.733 0.733
0.733 0.267 0.733
0.267 0.733 0.267
0.500 0.500 0.500
0.500 0.000 0.500
0.000 0.500 0.500
0.500 0.500 0.000
```

***

Record 4
MgZnFe2 | GGA-PBE | optimized geometry

POSCAR file:
```
MgZnFe2
1.0
6.049 0.000 0.000
0.000 6.049 0.000
0.000 0.000 6.049
Mg Fe Zn
4 8 4
direct
0.000 0.500 0.500
0.500 0.500 0.500
0.500 0.500 0.000
0.500 0.000 0.500
0.234 0.234 0.234
0.234 0.234 0.766
0.766 0.766 0.234
0.766 0.234 0.234
0.766 0.766 0.766
0.234 0.766 0.234
0.234 0.766 0.766
0.766 0.234 0.766
0.000 0.000 0.000
0.000 0.500 0.000
0.000 0.000 0.500
0.500 0.000 0.000
```

***

Record 5
MgZrZnFe GGA-PBE optimized geometry; offset from the most stable computed form = 0.00 eV/f.u.
1.0
-0.870 -4.059 1.821
0.995 -0.792 4.351
-3.332 -0.453 3.040
Zn Zr Fe Mg
1 1 1 1
direct
0.000 0.000 0.000
0.500 0.500 0.500
0.750 0.750 0.750
0.250 0.250 0.250

***

Record 6
MgZrZnFe GGA-PBE optimized geometry; offset from the most stable computed form = 0.14 eV/f.u.
1.0
-2.200 3.166 2.432
-2.592 3.100 -2.109
-4.538 -0.175 0.395
Zn Fe Mg Zr
1 1 1 1
direct
0.000 0.000 0.000
0.750 0.750 0.750
0.500 0.500 0.500
0.250 0.250 0.250

***

| no. | calculated volume (Å³ per atom) | DFT total energy (eV per atom) | density (g cm⁻³) |
| --- | --- | --- | --- |
| 1 | 18.780 | -4.29 | 5.2 |
| 2 | 18.930 | -4.20 | 5.1 |
| 3 | 13.845 | -4.64 | 6.0 |
| 4 | 13.831 | -4.64 | 6.0 |
| 5 | 16.466 | -4.82 | 6.0 |
| 6 | 16.743 | -4.79 | 5.9 |